Density functional theory data (PBE-GGA) for an optimized crystal structure of ScTe5.

Its total magnetization is 0.001 μB/f.u. The calculation puts the density of states at the Fermi level at 28.9 states/eV/cell. The value obtained for the final energy is -3.432 eV/atom.

It has space group F-43m (No. 216), with a = 8.901 Å, b = 8.901 Å, c = 8.901 Å, α = 90.00°, β = 90.00° and γ = 90.00°. The asymmetric unit holds Sc at (0.000, 0.000, 0.000), Te at (0.126, 0.126, 0.374) and Te at (0.250, 0.250, 0.750).